{"formula": "Mg2AlW", "functional": "GGA-PBE", "state": "optimized geometry", "lattice_angstrom": [[-2.0300, 2.0300, 4.1766], [2.0300, -2.0300, 4.1766], [2.0300, 2.0300, -4.1766]], "species": ["Mg", "Mg", "Al", "W"], "frac_coords": [[0.0000, 0.0000, 0.0000], [0.7500, 0.2500, 0.5000], [0.5000, 0.5000, 0.0000], [0.2500, 0.7500, 0.5000]], "crystal_system": "tetragonal", "e_tot_ev_per_atom": -4.64}